No. 1
# Ca3AgS

A PBEsol-optimized structure of Ca3AgS (SCAN, the Alexandria database). Values from VASP.

The structure in Quantum ESPRESSO input format:
```
&SYSTEM
  ibrav = 0, nat = 5, ntyp = 3
/
ATOMIC_SPECIES
Ca 40.08 Ca.upf
Ag 107.87 Ag.upf
S 32.06 S.upf
ATOMIC_POSITIONS crystal
Ca 0.000 0.000 0.500
Ca 0.000 0.500 0.000
Ca 0.500 0.000 0.000
Ag 0.500 0.500 0.500
S 0.000 0.000 0.000
CELL_PARAMETERS angstrom
5.296 0.000 0.000
0.000 5.296 0.000
0.000 0.000 5.296
```

Magnetic moment, μB/atom: 0.0000
DOS at the Fermi energy, states/eV/atom: 0.61
Raw formation energy, eV/atom: -0.818
Polymorph energy (0 for the lowest one), eV per formula unit: 0.00

=====

No. 2
# Ca3AgS

A PBEsol-optimized structure of Ca3AgS (SCAN, the Alexandria database). Values from VASP.

The structure in Quantum ESPRESSO input format:
```
&SYSTEM
  ibrav = 0, nat = 5, ntyp = 3
/
ATOMIC_SPECIES
Ca 40.08 Ca.upf
Ag 107.87 Ag.upf
S 32.06 S.upf
ATOMIC_POSITIONS crystal
Ca 0.000 0.000 0.500
Ca 0.000 0.500 0.000
Ca 0.500 0.000 0.000
Ag 0.000 0.000 0.000
S 0.500 0.500 0.500
CELL_PARAMETERS angstrom
5.500 0.000 0.000
0.000 5.500 0.000
0.000 0.000 5.500
```

Magnetic moment, μB/atom: 0.0000
DOS at the Fermi energy, states/eV/atom: 0.62
Raw formation energy, eV/atom: -0.234
Polymorph energy (0 for the lowest one), eV per formula unit: 2.92

=====

What final energy values result from the calculations? In sequence: -14.82 -14.23 eV/atom.